# CuAu3C | Alexandria | PBE-GGA | relaxed
# Space-group type: No. 221
# Total magnetic moment, μB/cell: 1.28
# E_form, meV/atom: 1922.6
# Final energy, eV/atom: -2.7078
# ΔE to the lowest computed polymorph, meV per atom: 1172
data_CuAu3C
_cell_length_a 4.7597
_cell_length_b 4.7597
_cell_length_c 4.7597
_cell_angle_alpha 90.00
_cell_angle_beta 90.00
_cell_angle_gamma 90.00
_symmetry_space_group_name_H-M 'P 1'
_symmetry_Int_Tables_number 1
loop_
_symmetry_equiv_pos_as_xyz
'x,y,z'
loop_
_atom_site_label
_atom_site_type_symbol
_atom_site_fract_x
_atom_site_fract_y
_atom_site_fract_z
Cu1 Cu 0.0000 0.0000 0.0000
Au1 Au 0.0000 0.0000 0.5000
Au2 Au 0.0000 0.5000 0.0000
Au3 Au 0.5000 0.0000 0.0000
C1 C 0.5000 0.5000 0.5000